Computed, not measured: a relaxed PmPuCdRh crystal at the PBE level of DFT.

```
data_PmPuCdRh
_chemical_formula_sum 'Pm4 Pu4 Cd4 Rh4'
_cell_length_a 7.263
_cell_length_b 7.263
_cell_length_c 7.263
_cell_angle_alpha 90.00
_cell_angle_beta 90.00
_cell_angle_gamma 90.00
_symmetry_space_group_name_H-M 'F -4 3 m'
_symmetry_Int_Tables_number 216
_symmetry_space_group_name_Hall 'F -4 2 3'
loop_
_atom_site_label
_atom_site_type_symbol
_atom_site_fract_x
_atom_site_fract_y
_atom_site_fract_z
Pm1 Pm 0.000 0.000 0.000
Pu1 Pu 0.000 0.000 0.500
Cd1 Cd 0.250 0.250 0.250
Rh1 Rh 0.250 0.250 0.750
```

Values from the calculation:
DFT formation energy (eV/atom): -0.239
Total magnetic moment (Bohr magnetons per cell): 22.13
Total DFT energy (no corrections) (eV/atom): -7.076